(1)
A plane-wave DFT calculation with PBE was carried out for a relaxed structure of CePrEr2S4.

Cell: 3.9179 6.8088 6.9902 Å, 108.83 90.00 90.00°
Each line ends with the local moment (μB).
Fractional coordinates of all 8 atoms:
Ce1 0.5000 0.5000 0.0000  0.66
Pr1 0.0000 0.0000 0.0000  0.01
Er1 0.5000 0.0000 0.5000  -0.01
Er2 0.0000 0.5000 0.5000  0.01
S1 0.5000 0.2595 0.2700  0.00
S2 0.5000 0.7405 0.7300  0.00
S3 0.0000 0.2464 0.7320  -0.01
S4 0.0000 0.7536 0.2680  -0.01

Properties
Formation energy (no corrections) (eV per atom): -2.0055
E_tot (eV per atom): -6.549
DOS(E_F) (states/eV per cell): 7.48


(2)
A plane-wave DFT calculation with PBE was carried out for a relaxed structure of Ce2PrErS4.

Cell: 3.9916 6.9555 6.9561 Å, 109.25 90.00 90.00°
Each line ends with the local moment (μB).
Fractional coordinates of all 8 atoms:
Ce1 0.5000 0.0000 0.5000  0.59
Ce2 0.0000 0.5000 0.5000  0.76
Pr1 0.5000 0.5000 0.0000  -0.01
Er1 0.0000 0.0000 0.0000  0.00
S1 0.5000 0.2367 0.2408  -0.01
S2 0.5000 0.7633 0.7592  -0.01
S3 0.0000 0.2400 0.7516  -0.01
S4 0.0000 0.7600 0.2484  -0.01

Properties
Formation energy (no corrections) (eV per atom): -2.0129
E_tot (eV per atom): -6.728
DOS(E_F) (states/eV per cell): 11.31